DFT (PBE) results for an optimized crystal structure of PuRhO6.

Theoretical density, kg/m3: 5472
Size of the total moment, μB per atom: 0.37
DOS(E_F), states/eV/f.u.: 2.89
Uncorrected formation energy, eV/f.u.: -9.03

Cell: 5.125 9.514 5.673 Å, 90.00 103.61 90.00°
Space group C2/m (No. 12)
Symmetry-distinct sites (fractional):
Pu1 0.000 0.000 0.000
Rh1 0.000 0.000 0.500
O1 0.134 0.132 0.266
O2 0.202 0.500 0.230

=====

DFT (PBE) results for an optimized crystal structure of Pu2RhO8.

Theoretical density, kg/m3: 8168
Size of the total moment, μB per atom: 0.27
DOS(E_F), states/eV/f.u.: 4.66
Uncorrected formation energy, eV/f.u.: -20.29

Cell: 9.376 6.670 4.676 Å, 90.00 91.54 90.00°
Space group C2/m (No. 12)
Symmetry-distinct sites (fractional):
Pu1 0.137 0.000 0.245
Rh1 0.000 0.500 0.000
O1 0.077 0.000 0.752
O2 0.122 0.291 0.208
O3 0.155 0.500 0.721

=====

DFT (PBE) results for an optimized crystal structure of Pu8Rh5O.

Theoretical density, kg/m3: 13662
Size of the total moment, μB per atom: 3.06
DOS(E_F), states/eV/f.u.: 52.92
Uncorrected formation energy, eV/f.u.: -8.49

Cell: 8.243 8.243 8.881 Å, 90.00 90.00 90.00°
Space group I-4 (No. 82)
Symmetry-distinct sites (fractional):
Pu1 0.062 0.282 0.037
Pu2 0.064 0.187 0.664
Rh1 0.000 0.500 0.750
Rh2 0.108 0.276 0.351
O1 0.000 0.000 0.000

=====

DFT (PBE) results for an optimized crystal structure of PuRh2O6.

Theoretical density, kg/m3: 8334
Size of the total moment, μB per atom: 0.22
DOS(E_F), states/eV/f.u.: 5.41
Uncorrected formation energy, eV/f.u.: -13.99

Cell: 4.810 4.810 9.402 Å, 90.00 90.00 90.00°
Space group P4_2/mnm (No. 136)
Symmetry-distinct sites (fractional):
Pu1 0.000 0.000 0.000
Rh1 0.000 0.000 0.331
O1 0.185 0.185 0.500
O2 0.202 0.202 0.168